This record from the Alexandria database describes a relaxed NaSr2Zn crystal. The functional is PBE.

Computed properties:
SG: P4/mmm
ΔE_f (eV/atom): -0.012
Fermi-level density of states (states/eV per atom): 0.9737

abc: 4.1574 5.8855 5.8855
angles: 90.00 90.00 90.00
Fractional positions:
Sr 0.0000 0.0000 0.5000
Sr 0.0000 0.5000 0.0000
Zn 0.5000 0.0000 0.0000
Na 0.5000 0.5000 0.5000

***

This record from the Alexandria database describes a relaxed NaSrZn2 crystal. The functional is PBE.

Computed properties:
SG: P4/mmm
ΔE_f (eV/atom): -0.015
Fermi-level density of states (states/eV per atom): 0.6273

abc: 3.8822 3.8822 7.0840
angles: 90.00 90.00 90.00
Fractional positions:
Sr 0.5000 0.5000 0.5000
Zn 0.0000 0.0000 0.7991
Zn 0.0000 0.0000 0.2009
Na 0.5000 0.5000 0.0000

***

This record from the Alexandria database describes a relaxed NaSrZn crystal. The functional is PBE.

Computed properties:
Excess energy over the best structure of this formula in the dataset (eV/f.u.): 0.00
SG: Cmcm
ΔE_f (eV/atom): -0.129
Fermi-level density of states (states/eV per atom): 0.4933

abc: 4.5199 4.3601 10.5433
angles: 78.07 90.00 90.00
Fractional positions:
Zn 0.7500 0.4668 0.0665
Zn 0.2500 0.5332 0.9335
Na 0.7500 0.2964 0.4072
Na 0.2500 0.7036 0.5928
Sr 0.7500 0.0892 0.8215
Sr 0.2500 0.9108 0.1785

***

This record from the Alexandria database describes a relaxed Na5Sr4Zn2 crystal. The functional is PBE.

Computed properties:
SG: P2/m
ΔE_f (eV/atom): -0.042
Fermi-level density of states (states/eV per atom): 0.6358

abc: 4.3289 9.1390 11.0263
angles: 94.62 90.00 90.00
Fractional positions:
Na 0.0000 0.5492 0.3255
Na 0.0000 0.1805 0.1481
Na 0.0000 0.5000 0.0000
Na 0.0000 0.8195 0.8519
Na 0.0000 0.4508 0.6745
Sr 0.5000 0.7928 0.5550
Sr 0.5000 0.1622 0.8365
Sr 0.5000 0.2072 0.4450
Sr 0.5000 0.8378 0.1635
Zn 0.0000 0.0588 0.6237
Zn 0.0000 0.9412 0.3763

***

This record from the Alexandria database describes a relaxed NaSrZn crystal. The functional is PBE.

Computed properties:
Excess energy over the best structure of this formula in the dataset (eV/f.u.): 0.42
SG: P3m1
ΔE_f (eV/atom): 0.011
Fermi-level density of states (states/eV per atom): 0.5621

abc: 4.1192 5.2379 5.2379
angles: 120.00 90.00 90.00
Fractional positions:
Sr 0.6663 0.6667 0.3333
Zn 0.1682 0.0000 0.0000
Na 0.1655 0.3333 0.6667

***

This record from the Alexandria database describes a relaxed Na4Sr5Zn2 crystal. The functional is PBE.

Computed properties:
SG: Pbam
ΔE_f (eV/atom): -0.041
Fermi-level density of states (states/eV per atom): 0.7254

abc: 4.2534 9.5785 21.2553
angles: 90.00 90.00 90.00
Fractional positions:
Na 0.5000 0.2992 0.5654
Na 0.5000 0.7008 0.4346
Na 0.5000 0.7992 0.9346
Na 0.5000 0.2008 0.0654
Na 0.5000 0.4331 0.8469
Na 0.5000 0.5669 0.1531
Na 0.5000 0.9331 0.6531
Na 0.5000 0.0669 0.3469
Sr 0.0000 0.5000 0.0000
Sr 0.0000 0.0000 0.5000
Sr 0.0000 0.2454 0.2189
Sr 0.0000 0.7546 0.7811
Sr 0.0000 0.7454 0.2811
Sr 0.0000 0.2546 0.7189
Sr 0.0000 0.3838 0.4072
Sr 0.0000 0.6162 0.5928
Sr 0.0000 0.8838 0.0928
Sr 0.0000 0.1162 0.9072
Zn 0.5000 0.4677 0.2964
Zn 0.5000 0.5323 0.7036
Zn 0.5000 0.9677 0.2036
Zn 0.5000 0.0323 0.7964

***

This record from the Alexandria database describes a relaxed NaSr2Zn crystal. The functional is PBE.

Computed properties:
SG: R-3m
ΔE_f (eV/atom): 0.076
Fermi-level density of states (states/eV per atom): 1.0148

abc: 4.2240 4.2240 12.1053
angles: 79.95 79.95 60.00
Fractional positions:
Sr 0.1077 0.1077 0.6770
Sr 0.8923 0.8923 0.3230
Zn 0.5000 0.5000 0.5000
Na 0.0000 0.0000 0.0000

***

This record from the Alexandria database describes a relaxed NaSr2Zn crystal. The functional is PBE.

Computed properties:
SG: I-42d
ΔE_f (eV/atom): 0.121
Fermi-level density of states (states/eV per atom): 1.4703

abc: 9.3260 9.3260 7.6443
angles: 52.41 52.41 90.00
Fractional positions:
Sr 0.6729 0.1250 0.2500
Sr 0.0771 0.6250 0.2500
Sr 0.3750 0.3271 0.7500
Sr 0.8750 0.9229 0.7500
Zn 0.0000 0.0000 0.0000
Zn 0.7500 0.2500 0.5000
Na 0.5000 0.5000 0.0000
Na 0.2500 0.7500 0.5000